# 1
Cs2Sb2Pd: relaxed, PBE.

Results
DOS at the Fermi energy in states/eV/cell: 0.00
Calculated volume in Å³/cell: 410.60
Formation energy without anion corrections in eV per atom: -0.5088
Symmetry: Cmcm

a b c (Å): 8.596 8.596 6.910
angles (deg): 90.00 90.00 126.48
Element x y z (fractional)
Cs1 0.099 0.901 0.750
Cs2 0.300 0.700 0.250
Cs3 0.700 0.300 0.750
Cs4 0.901 0.099 0.250
Sb1 0.219 0.418 0.750
Sb2 0.418 0.219 0.250
Sb3 0.582 0.781 0.750
Sb4 0.781 0.582 0.250
Pd1 0.500 0.500 0.000
Pd2 0.500 0.500 0.500

***

# 2
CsSb2Pd: relaxed, PBE.

Results
DOS at the Fermi energy in states/eV/cell: 3.27
Excess energy over the best structure of this formula in the dataset in eV/atom: 0.002
Calculated volume in Å³/cell: 396.52
Formation energy without anion corrections in eV per atom: -0.4038
Symmetry: R3m

a b c (Å): 4.379 4.379 23.877
angles (deg): 90.00 90.00 120.00
Element x y z (fractional)
Cs1 0.000 0.000 0.000
Cs2 0.333 0.667 0.667
Cs3 0.667 0.333 0.333
Sb1 0.000 0.000 0.549
Sb2 0.000 0.000 0.793
Sb3 0.333 0.667 0.216
Sb4 0.333 0.667 0.460
Sb5 0.667 0.333 0.126
Sb6 0.667 0.333 0.882
Pd1 0.000 0.000 0.172
Pd2 0.333 0.667 0.839
Pd3 0.667 0.333 0.506